(1)
An optimized crystal structure of Pr3PtI3. Source: Alexandria via LeMat-Bulk, functional PBE.

```
Pr3PtI3
1.0
4.243 0.000 0.000
0.000 9.493 -0.307
0.000 0.242 12.878
I Pr Pt
6 6 2
direct
0.250 0.863 0.884
0.750 0.618 0.630
0.750 0.620 0.124
0.750 0.137 0.116
0.250 0.382 0.370
0.250 0.380 0.876
0.750 0.123 0.850
0.250 0.877 0.150
0.750 0.677 0.376
0.250 0.323 0.624
0.250 0.914 0.611
0.750 0.086 0.389
0.750 0.121 0.626
0.250 0.879 0.374
```

## Properties
Formation energy from raw total energies: -1.213 eV/atom
Symmetry: P2_1/m

(2)
An optimized crystal structure of Pr3PtI3. Source: Alexandria via LeMat-Bulk, functional PBE.

```
Pr3PtI3
1.0
-2.834 7.299 7.684
-6.687 -8.679 0.557
10.346 -3.241 1.674
I Pr Pt
12 12 4
direct
0.516 0.508 0.758
0.742 0.992 0.984
0.250 0.992 0.508
0.984 0.742 0.992
0.742 0.250 0.758
0.758 0.516 0.508
0.992 0.508 0.250
0.250 0.758 0.742
0.992 0.984 0.742
0.508 0.250 0.992
0.508 0.758 0.516
0.758 0.742 0.250
0.230 0.460 0.480
0.480 0.230 0.460
0.480 0.750 0.020
0.270 0.750 0.230
0.020 0.480 0.750
0.750 0.230 0.270
0.270 0.020 0.040
0.460 0.480 0.230
0.020 0.040 0.270
0.750 0.020 0.480
0.040 0.270 0.020
0.230 0.270 0.750
0.500 0.000 0.250
0.250 0.250 0.250
0.000 0.250 0.500
0.250 0.500 0.000
```

## Properties
Formation energy from raw total energies: -1.237 eV/atom
Symmetry: I4_132

(3)
An optimized crystal structure of Pr8PtRh3I4. Source: Alexandria via LeMat-Bulk, functional PBE.

```
Pr8PtRh3I4
1.0
8.479 0.000 0.000
0.000 9.510 0.727
-4.239 -4.235 5.994
Rh Pt I Pr
3 1 4 8
direct
0.500 0.500 0.000
0.000 0.500 0.500
0.500 0.500 0.500
0.000 0.500 0.000
0.500 0.000 0.500
0.000 0.000 0.500
0.000 0.000 0.000
0.500 0.000 0.000
0.724 0.686 0.955
0.769 0.314 0.045
0.271 0.313 0.542
0.276 0.314 0.045
0.231 0.686 0.955
0.769 0.314 0.538
0.231 0.686 0.462
0.729 0.687 0.458
```

## Properties
Formation energy from raw total energies: -0.983 eV/atom
Symmetry: R-3m

(4)
An optimized crystal structure of Pr8Ru3PtI4. Source: Alexandria via LeMat-Bulk, functional PBE.

```
Pr8Ru3PtI4
1.0
8.418 0.000 0.000
0.000 9.523 0.765
-4.209 -4.214 5.960
I Ru Pr Pt
4 3 8 1
direct
0.500 0.000 0.500
0.500 0.000 0.000
0.000 0.000 0.500
0.000 0.000 0.000
0.000 0.500 0.500
0.500 0.500 0.000
0.500 0.500 0.500
0.730 0.688 0.459
0.234 0.686 0.468
0.270 0.312 0.541
0.766 0.314 0.048
0.718 0.686 0.952
0.766 0.314 0.532
0.282 0.314 0.048
0.234 0.686 0.952
0.000 0.500 0.000
```

## Properties
Formation energy from raw total energies: -0.765 eV/atom
Symmetry: C2/m